Entry 1:
Density functional theory data (PBE) for a relaxed structure of NaPr2Pd.

Summary:
E_tot: -4.2775 eV per atom
Relative energy among the computed polymorphs: 0 meV per atom
E_form: -260 meV/atom

a b c (Å): 3.6329 3.6329 9.4465
angles (deg): 90.00 90.00 90.00
Last column: nearest neighbours and their distance in Å.
Sites, in units of the cell vectors:
1 Na 0.0000 0.0000 0.0000  4 Na 3.63, 8 Pr 3.93
2 Pr 0.5000 0.5000 0.3155  4 Pd 3.10
3 Pr 0.5000 0.5000 0.6845  4 Pd 3.10
4 Pd 0.0000 0.0000 0.5000  8 Pr 3.10


Entry 2:
Density functional theory data (PBE) for a relaxed structure of CoBPt.

Summary:
E_tot: -6.5414 eV per atom
E_form: 67 meV/atom

a b c (Å): 6.4605 6.4605 6.4605
angles (deg): 95.49 95.49 143.97
Last column: nearest neighbours and their distance in Å.
Sites, in units of the cell vectors:
1 Co 0.0000 0.3426 0.3426  4 B 1.96-2.00
2 Co 0.0000 0.6574 0.6574  4 B 1.96-2.00
3 Co 0.3426 0.0000 0.3426  4 B 1.96-2.00
4 Co 0.6574 0.0000 0.6574  4 B 1.96-2.00
5 B 0.1621 0.5000 0.6621  4 Co 1.96-2.00, 2 Pt 2.08
6 B 0.5000 0.1621 0.6621  4 Co 1.96-2.00, 2 Pt 2.08
7 B 0.5000 0.8379 0.3379  4 Co 1.96-2.00, 2 Pt 2.08
8 B 0.8379 0.5000 0.3379  4 Co 1.96-2.00, 2 Pt 2.08
9 Pt 0.3380 0.3380 0.6759  2 B 2.08
10 Pt 0.3380 0.6620 0.0000  2 B 2.08
11 Pt 0.6620 0.3380 0.0000  2 B 2.08
12 Pt 0.6620 0.6620 0.3241  2 B 2.08


Entry 3:
Density functional theory data (PBE) for a relaxed structure of Tb3Nd2In2.

Summary:
E_tot: -4.3993 eV per atom
Relative energy among the computed polymorphs: 0 meV per atom
E_form: -270 meV/atom

a b c (Å): 5.4735 5.4735 8.7523
angles (deg): 108.24 108.24 60.06
Last column: nearest neighbours and their distance in Å.
Sites, in units of the cell vectors:
1 Tb 0.0000 0.0000 0.0000  6 In 3.40, 2 Tb 3.74
2 Tb 0.1529 0.1529 0.4584  1 In 3.18, 3 Tb 3.23, 3 Nd 3.53
3 Tb 0.8471 0.8471 0.5416  1 In 3.18, 3 Tb 3.23, 3 Nd 3.53
4 Nd 0.4220 0.4220 0.2662  4 In 3.29-3.42, 3 Tb 3.53
5 Nd 0.5780 0.5780 0.7338  4 In 3.29-3.42, 3 Tb 3.53
6 In 0.2825 0.2825 0.8475  4 Tb 3.18-3.40, 4 Nd 3.29-3.42
7 In 0.7175 0.7175 0.1525  4 Tb 3.18-3.40, 4 Nd 3.29-3.42


Entry 4:
Density functional theory data (PBE) for a relaxed structure of CdTeAu2.

Summary:
Formation energy without anion corrections: 0.11 eV/atom
E_tot: -2.5418 eV per atom
Relative energy among the computed polymorphs: 191 meV per atom

a b c (Å): 3.1893 3.1893 8.7855
angles (deg): 90.00 90.00 92.74
Last column: nearest neighbours and their distance in Å.
Sites, in units of the cell vectors:
1 Cd 0.0000 0.0000 0.0000  4 Au 2.86-2.94, 4 Cd 3.19
2 Te 0.5000 0.5000 0.6869  4 Te 3.19, 4 Au 3.20-3.27, 2 Cd 3.52
3 Au 0.0000 0.0000 0.4228  8 Au 2.90-3.19, 2 Te 3.20
4 Au 0.5000 0.5000 0.2081  4 Cd 2.86-2.94, 8 Au 2.90-3.19


Entry 5:
Density functional theory data (PBE) for a relaxed structure of LiTcNi4.

Summary:
E_tot: -5.8833 eV per atom
Relative energy among the computed polymorphs: 0 meV per atom
E_form: 18 meV/atom

a b c (Å): 2.5083 3.7842 7.3667
angles (deg): 90.00 97.67 90.00
Last column: nearest neighbours and their distance in Å.
Sites, in units of the cell vectors:
1 Li 0.0000 0.0000 0.0000  6 Ni 2.37-2.45, 2 Li 2.51
2 Tc 0.5000 0.5000 0.5000  10 Ni 2.47-2.60, 2 Tc 2.51
3 Ni 0.0691 0.0000 0.6716  1 Li 2.45, 7 Ni 2.51-2.59, 4 Tc 2.59-2.60
4 Ni 0.3810 0.5000 0.1617  2 Li 2.37, 1 Tc 2.47, 7 Ni 2.51-2.59
5 Ni 0.6190 0.5000 0.8383  2 Li 2.37, 1 Tc 2.47, 7 Ni 2.51-2.59
6 Ni 0.9309 0.0000 0.3284  1 Li 2.45, 7 Ni 2.51-2.59, 4 Tc 2.59-2.60


Entry 6:
Density functional theory data (PBE) for a relaxed structure of MnTc2Ag.

Summary:
E_tot: -7.4650 eV per atom
Relative energy among the computed polymorphs: 478 meV per atom
E_form: 723 meV/atom

a b c (Å): 4.3375 4.3375 4.3375
angles (deg): 60.00 60.00 60.00
Last column: nearest neighbours and their distance in Å.
Sites, in units of the cell vectors:
1 Mn 0.0000 0.0000 0.0000  8 Tc 2.66
2 Tc 0.2500 0.2500 0.2500  4 Ag 2.66, 4 Mn 2.66
3 Tc 0.7500 0.7500 0.7500  4 Ag 2.66, 4 Mn 2.66
4 Ag 0.5000 0.5000 0.5000  8 Tc 2.66


Entry 7:
Density functional theory data (PBE) for a relaxed structure of Tb3Si4Tc2.

Summary:
Formation energy without anion corrections: -0.71 eV/atom
E_tot: -6.9634 eV per atom

a b c (Å): 5.7840 5.7840 8.1764
angles (deg): 107.85 107.85 42.43
Last column: nearest neighbours and their distance in Å.
Sites, in units of the cell vectors:
1 Tb 0.0000 0.0000 0.0000  8 Si 3.04-3.32
2 Tb 0.3784 0.3784 0.3029  7 Si 2.91-3.08, 4 Tc 3.10-3.16
3 Tb 0.6216 0.6216 0.6971  7 Si 2.91-3.08, 4 Tc 3.10-3.16
4 Si 0.1003 0.1003 0.4156  3 Tc 2.39-2.49
5 Si 0.2843 0.2843 0.9255  1 Tc 2.41, 2 Si 2.65
6 Si 0.7157 0.7157 0.0745  1 Tc 2.41, 2 Si 2.65
7 Si 0.8997 0.8997 0.5844  3 Tc 2.39-2.49
8 Tc 0.3183 0.3183 0.6488  4 Si 2.39-2.49
9 Tc 0.6817 0.6817 0.3512  4 Si 2.39-2.49


Entry 8:
Density functional theory data (PBE) for a relaxed structure of AcMgAl2.

Summary:
E_tot: -3.5433 eV per atom
E_form: -246 meV/atom

a b c (Å): 6.2531 6.2531 7.1472
angles (deg): 90.00 90.00 133.13
Last column: nearest neighbours and their distance in Å.
Sites, in units of the cell vectors:
1 Ac 0.1009 0.8991 0.7500  10 Al 3.35-3.71, 5 Mg 3.40-3.74
2 Ac 0.8991 0.1009 0.2500  10 Al 3.35-3.71, 5 Mg 3.40-3.74
3 Mg 0.1969 0.8031 0.2500  6 Al 3.00-3.16
4 Mg 0.8031 0.1969 0.7500  6 Al 3.00-3.16
5 Al 0.3914 0.6086 0.5633  2 Al 2.65-2.67
6 Al 0.3914 0.6086 0.9367  2 Al 2.65-2.67
7 Al 0.6086 0.3914 0.0633  2 Al 2.65-2.67
8 Al 0.6086 0.3914 0.4367  2 Al 2.65-2.67


Entry 9:
Density functional theory data (PBE) for a relaxed structure of Pm2TiHg.

Summary:
E_tot: -4.0978 eV per atom
Relative energy among the computed polymorphs: 376 meV per atom
E_form: 327 meV/atom

a b c (Å): 11.5478 11.5478 11.5478
angles (deg): 16.57 16.57 16.57
Last column: nearest neighbours and their distance in Å.
Sites, in units of the cell vectors:
1 Pm 0.0868 0.0868 0.0868  1 Ti 2.97
2 Pm 0.9132 0.9132 0.9132  1 Ti 2.97
3 Ti 0.0000 0.0000 0.0000  2 Pm 2.97
4 Hg 0.5000 0.5000 0.5000  6 Hg 3.33, 6 Pm 3.34


Entry 10:
Density functional theory data (PBE) for a relaxed structure of NaPr4Te5.

Summary:
Formation energy without anion corrections: -1.39 eV/atom
E_tot: -5.0013 eV per atom
Relative energy among the computed polymorphs: 22 meV per atom

a b c (Å): 16.4175 16.4175 16.4175
angles (deg): 164.13 164.13 22.52
Last column: nearest neighbours and their distance in Å.
Sites, in units of the cell vectors:
1 Na 0.0000 0.0000 0.0000  6 Te 3.21-3.27
2 Pr 0.2037 0.2037 0.0000  6 Te 3.20-3.28
3 Pr 0.4032 0.4032 0.0000  6 Te 3.12-3.23
4 Pr 0.5968 0.5968 0.0000  6 Te 3.12-3.23
5 Pr 0.7963 0.7963 0.0000  6 Te 3.20-3.28
6 Te 0.1017 0.1017 0.0000  5 Pr 3.21-3.28, 1 Na 3.27
7 Te 0.3029 0.3029 0.0000  6 Pr 3.20-3.23
8 Te 0.5000 0.5000 0.0000  2 Pr 3.12, 4 Na 3.21
9 Te 0.6971 0.6971 0.0000  6 Pr 3.20-3.23
10 Te 0.8983 0.8983 0.0000  5 Pr 3.21-3.28, 1 Na 3.27


Entry 11:
Density functional theory data (PBE) for a relaxed structure of YTc5.

Summary:
E_tot: -9.5100 eV per atom
Relative energy among the computed polymorphs: 99 meV per atom
E_form: 206 meV/atom

a b c (Å): 5.4125 5.4125 6.7192
angles (deg): 105.49 105.49 31.41
Last column: nearest neighbours and their distance in Å.
Sites, in units of the cell vectors:
1 Y 0.0000 0.0000 0.0000  10 Tc 2.83-3.10, 2 Y 2.93
2 Tc 0.2825 0.2825 0.1008  6 Tc 2.63-2.93, 3 Y 2.83-2.93
3 Tc 0.3479 0.3479 0.6523  6 Tc 2.57-2.66, 2 Y 2.84
4 Tc 0.6583 0.6583 0.7360  9 Tc 2.64-2.93
5 Tc 0.6989 0.6989 0.3649  6 Tc 2.57-2.82
6 Tc 0.9788 0.9788 0.4413  9 Tc 2.66-2.93


Entry 12:
Density functional theory data (PBE) for a relaxed structure of Sc4Ni3Pt.

Summary:
E_tot: -6.7878 eV per atom
E_form: -699 meV/atom

a b c (Å): 7.8499 7.8499 7.8499
angles (deg): 33.59 33.59 33.59
Last column: nearest neighbours and their distance in Å.
Sites, in units of the cell vectors:
1 Sc 0.1224 0.1224 0.1224  5 Ni 2.72-2.83, 3 Pt 2.80
2 Sc 0.3727 0.3727 0.3727  7 Ni 2.73-2.80, 1 Pt 2.83
3 Sc 0.6273 0.6273 0.6273  7 Ni 2.73-2.80, 1 Pt 2.83
4 Sc 0.8776 0.8776 0.8776  5 Ni 2.72-2.83, 3 Pt 2.80
5 Ni 0.0000 0.0000 0.0000  8 Sc 2.72-2.76
6 Ni 0.2498 0.2498 0.2498  8 Sc 2.73-2.83
7 Ni 0.7502 0.7502 0.7502  8 Sc 2.73-2.83
8 Pt 0.5000 0.5000 0.5000  8 Sc 2.80-2.83


Entry 13:
Density functional theory data (PBE) for a relaxed structure of NaCa2Au2.

Summary:
E_tot: -2.8459 eV per atom
Relative energy among the computed polymorphs: 164 meV per atom
E_form: -470 meV/atom

a b c (Å): 6.9146 6.9146 6.9146
angles (deg): 137.38 137.38 61.85
Last column: nearest neighbours and their distance in Å.
Sites, in units of the cell vectors:
1 Na 0.0000 0.0000 0.0000  8 Au 3.80, 8 Ca 3.89
2 Ca 0.2500 0.7500 0.5000  4 Au 2.98
3 Ca 0.7500 0.2500 0.5000  4 Au 2.98
4 Au 0.3856 0.3856 0.0000  1 Au 2.71, 4 Ca 2.98
5 Au 0.6144 0.6144 0.0000  1 Au 2.71, 4 Ca 2.98